#w
Below is crystalline Pr2Sm2CI3Br2 at its relaxed geometry, with properties calculated at the PBE level.

Cell: 9.5584 9.5584 8.7608 Å, 102.62 102.62 24.39°
Last column: nearest neighbours and their distance in Å.
Element x y z (fractional)
Pr 0.1397 0.1397 0.0664  1 C 2.54
Pr 0.8603 0.8603 0.9336  1 C 2.54
Sm 0.4984 0.4984 0.1931  2 C 2.64
Sm 0.5016 0.5016 0.8069  2 C 2.64
C 0.0000 0.0000 0.0000  2 Pr 2.54, 4 Sm 2.64
I 0.0000 0.0000 0.5000  4 Sm 3.36
I 0.3324 0.3324 0.6489  1 Sm 3.15, 2 Pr 3.16
I 0.6676 0.6676 0.3511  1 Sm 3.15, 2 Pr 3.16
Br 0.3330 0.3330 0.1725  2 Pr 3.03, 1 Sm 3.06
Br 0.6670 0.6670 0.8275  2 Pr 3.03, 1 Sm 3.06

- space-group type = C2/m
- crystal system = monoclinic

***

#x
Below is crystalline Pr2Sm2CI3Br2 at its relaxed geometry, with properties calculated at the PBE level.

Cell: 9.7554 9.7554 8.8696 Å, 102.84 102.84 23.99°
Last column: nearest neighbours and their distance in Å.
Element x y z (fractional)
Pr 0.9999 0.9999 0.1971  2 C 2.68
Pr 0.0001 0.0001 0.8029  2 C 2.68
Sm 0.3659 0.3659 0.9290  1 C 2.49
Sm 0.6341 0.6341 0.0710  1 C 2.49
C 0.5000 0.5000 0.0000  2 Sm 2.49, 4 Pr 2.68
I 0.1727 0.1727 0.8278  2 Sm 3.17, 1 Pr 3.25
I 0.5000 0.5000 0.5000  4 Pr 3.37
I 0.8273 0.8273 0.1722  2 Sm 3.17, 1 Pr 3.25
Br 0.1615 0.1615 0.3192  2 Sm 2.95, 1 Pr 3.03
Br 0.8385 0.8385 0.6808  2 Sm 2.95, 1 Pr 3.03

- space-group type = C2/m
- crystal system = monoclinic

***

Bottom line: #x, by a margin of 10 meV per atom.

***

#w
Below is crystalline Sm2Sc2CI3Br2 at its relaxed geometry, with properties calculated at the PBE level.

Cell: 9.2767 9.2767 8.3124 Å, 103.08 103.08 24.08°
Last column: nearest neighbours and their distance in Å.
Element x y z (fractional)
Sm 0.1373 0.1373 0.0666  1 C 2.42
Sm 0.8627 0.8627 0.9334  1 C 2.42
Sc 0.4994 0.4994 0.1792  2 C 2.44
Sc 0.5006 0.5006 0.8208  2 C 2.44
C 0.0000 0.0000 0.0000  2 Sm 2.42, 4 Sc 2.44
I 0.0000 0.0000 0.5000  4 Sc 3.29
I 0.3376 0.3376 0.6407  1 Sc 2.99, 2 Sm 3.06
I 0.6624 0.6624 0.3593  1 Sc 2.99, 2 Sm 3.06
Br 0.3389 0.3389 0.1806  1 Sc 2.92, 2 Sm 2.93
Br 0.6611 0.6611 0.8194  1 Sc 2.92, 2 Sm 2.93

- space-group type = C2/m
- crystal system = monoclinic

***

#x
Below is crystalline Sm2Sc2CI3Br2 at its relaxed geometry, with properties calculated at the PBE level.

Cell: 10.2543 10.2543 8.6980 Å, 101.52 101.52 21.69°
Last column: nearest neighbours and their distance in Å.
Element x y z (fractional)
Sm 0.0001 0.0001 0.1950  2 C 2.57
Sm 0.9999 0.9999 0.8050  2 C 2.57
Sc 0.3866 0.3866 0.9499  1 C 2.24
Sc 0.6134 0.6134 0.0501  1 C 2.24
C 0.5000 0.5000 0.0000  2 Sc 2.24
I 0.1599 0.1599 0.3039  2 Sc 2.94, 1 Sm 3.16
I 0.5000 0.5000 0.5000  4 Sm 3.28
I 0.8401 0.8401 0.6961  2 Sc 2.94, 1 Sm 3.16
Br 0.1503 0.1503 0.8556  2 Sc 2.77, 1 Sm 2.97
Br 0.8497 0.8497 0.1444  2 Sc 2.77, 1 Sm 2.97

- space-group type = C2/m
- crystal system = monoclinic

***

Bottom line: #x, by a margin of 57 meV per atom.

***

#w
Below is crystalline Sm2Y2CI4Br at its relaxed geometry, with properties calculated at the PBE level.

Cell: 9.7580 9.7580 8.4578 Å, 102.26 102.26 23.42°
Last column: nearest neighbours and their distance in Å.
Element x y z (fractional)
Sm 0.1324 0.1324 0.0659  1 C 2.47
Sm 0.8676 0.8676 0.9341  1 C 2.47
Y 0.4996 0.4996 0.1958  2 C 2.58
Y 0.5004 0.5004 0.8042  2 C 2.58
C 0.0000 0.0000 0.0000  2 Sm 2.47, 4 Y 2.58
I 0.3337 0.3337 0.1925  2 Sm 3.12, 1 Y 3.16
I 0.3382 0.3382 0.6462  2 Sm 3.09, 1 Y 3.10
I 0.6618 0.6618 0.3538  2 Sm 3.09, 1 Y 3.10
I 0.6663 0.6663 0.8075  2 Sm 3.12, 1 Y 3.16
Br 0.0000 0.0000 0.5000  4 Y 3.25

- space-group type = C2/m
- crystal system = monoclinic

***

#x
Below is crystalline Sm2Y2CI4Br at its relaxed geometry, with properties calculated at the PBE level.

Cell: 9.8846 9.8846 8.4509 Å, 101.88 101.88 23.23°
Last column: nearest neighbours and their distance in Å.
Element x y z (fractional)
Sm 0.0007 0.0007 0.2982  2 C 2.62
Sm 0.9993 0.9993 0.7018  2 C 2.62
Y 0.3725 0.3725 0.4365  1 C 2.41
Y 0.6275 0.6275 0.5635  1 C 2.41
C 0.5000 0.5000 0.5000  2 Y 2.41, 4 Sm 2.62
I 0.1647 0.1647 0.8425  2 Y 3.05, 1 Sm 3.17
I 0.1688 0.1688 0.3216  2 Y 3.08, 1 Sm 3.22
I 0.8312 0.8312 0.6784  2 Y 3.08, 1 Sm 3.22
I 0.8353 0.8353 0.1575  2 Y 3.05, 1 Sm 3.17
Br 0.5000 0.5000 0.0000  4 Sm 3.21

- space-group type = C2/m
- crystal system = monoclinic

***

Bottom line: #x, by a margin of 15 meV per atom.

***

#w
Below is crystalline Nd2Sc2CBr5 at its relaxed geometry, with properties calculated at the PBE level.

Cell: 9.4233 9.4233 8.4690 Å, 102.45 102.45 23.20°
Last column: nearest neighbours and their distance in Å.
Element x y z (fractional)
Nd 0.0008 0.0008 0.2936  2 C 2.58
Nd 0.9992 0.9992 0.7064  2 C 2.58
Sc 0.3751 0.3751 0.4366  1 C 2.25
Sc 0.6249 0.6249 0.5634  1 C 2.25
C 0.5000 0.5000 0.5000  2 Sc 2.25
Br 0.1648 0.1648 0.8023  2 Sc 2.75, 1 Nd 2.99
Br 0.1672 0.1672 0.3630  2 Sc 2.77, 1 Nd 3.00
Br 0.5000 0.5000 0.0000  4 Nd 3.12
Br 0.8328 0.8328 0.6370  2 Sc 2.77, 1 Nd 3.00
Br 0.8352 0.8352 0.1977  2 Sc 2.75, 1 Nd 2.99

- space-group type = C2/m
- crystal system = monoclinic

***

#x
Below is crystalline Nd2Sc2CBr5 at its relaxed geometry, with properties calculated at the PBE level.

Cell: 9.0458 9.0458 7.9884 Å, 103.66 103.66 24.00°
Last column: nearest neighbours and their distance in Å.
Element x y z (fractional)
Nd 0.1437 0.1437 0.0772  1 C 2.47
Nd 0.8563 0.8563 0.9228  1 C 2.47
Sc 0.5003 0.5003 0.1898  2 C 2.42
Sc 0.4997 0.4997 0.8102  2 C 2.42
C 0.0000 0.0000 0.0000  4 Sc 2.42, 2 Nd 2.47
Br 0.0000 0.0000 0.5000  4 Sc 3.11
Br 0.3379 0.3379 0.1961  1 Sc 2.89, 2 Nd 2.96
Br 0.3444 0.3444 0.6394  1 Sc 2.76, 2 Nd 2.91
Br 0.6556 0.6556 0.3606  1 Sc 2.76, 2 Nd 2.91
Br 0.6621 0.6621 0.8039  1 Sc 2.89, 2 Nd 2.96

- space-group type = C2/m
- crystal system = monoclinic

***

Bottom line: #w, by a margin of 49 meV per atom.

***

#w
Below is crystalline Pr2Sm2C2Br5 at its relaxed geometry, with properties calculated at the PBE level.

Cell: 9.9088 9.9088 8.2748 Å, 103.65 103.65 23.01°
Last column: nearest neighbours and their distance in Å.
Element x y z (fractional)
Pr 0.0006 0.0006 0.2970  4 C 2.68-2.69
Pr 0.9994 0.9994 0.7030  4 C 2.68-2.69
Sm 0.3448 0.3448 0.4023  1 C 2.22
Sm 0.6552 0.6552 0.5977  1 C 2.22
C 0.4628 0.4628 0.4772  1 C 1.40
C 0.5372 0.5372 0.5228  1 C 1.40
Br 0.1625 0.1625 0.8614  2 Sm 2.92, 1 Pr 3.12
Br 0.1699 0.1699 0.3380  3 Sm 2.98-3.31, 1 Pr 3.22
Br 0.5000 0.5000 0.0000  4 Pr 3.15
Br 0.8301 0.8301 0.6620  3 Sm 2.98-3.31, 1 Pr 3.22
Br 0.8375 0.8375 0.1386  2 Sm 2.92, 1 Pr 3.12

- space-group type = C2/m
- crystal system = monoclinic

***

#x
Below is crystalline Pr2Sm2C2Br5 at its relaxed geometry, with properties calculated at the PBE level.

Cell: 9.9212 9.9212 8.2367 Å, 104.71 104.71 22.61°
Last column: nearest neighbours and their distance in Å.
Element x y z (fractional)
Pr 0.1587 0.1587 0.1010  1 C 2.28
Pr 0.8413 0.8413 0.8990  1 C 2.28
Sm 0.4993 0.4993 0.7999  4 C 2.64
Sm 0.5007 0.5007 0.2001  4 C 2.64
C 0.0374 0.0374 0.0224  1 C 1.41
C 0.9626 0.9626 0.9776  1 C 1.41
Br 0.0000 0.0000 0.5000  4 Sm 3.15
Br 0.3344 0.3344 0.1773  3 Pr 3.04-3.31, 1 Sm 3.19
Br 0.3420 0.3420 0.6267  2 Pr 2.97, 1 Sm 3.02
Br 0.6580 0.6580 0.3733  2 Pr 2.97, 1 Sm 3.02
Br 0.6656 0.6656 0.8227  3 Pr 3.04-3.31, 1 Sm 3.19

- space-group type = C2/m
- crystal system = monoclinic

***

Bottom line: #w, by a margin of 31 meV per atom.